Record 1
# Tl5GeS4 PBE-GGA optimized geometry
# - space-group type = Pmmn (59)
# - raw formation energy (eV per formula unit) = -3.05
# - total magnetization (μB per atom) = 0.0000
data_Tl5GeS4
_chemical_formula_sum 'Tl10 Ge2 S8'
_symmetry_space_group_name_H-M 'P 1'
_symmetry_Int_Tables_number 1
_symmetry_space_group_name_Hall 'P 1'
_cell_length_a 8.881
_cell_length_b 10.006
_cell_length_c 7.003
_cell_angle_alpha 90.00
_cell_angle_beta 90.00
_cell_angle_gamma 90.00
loop_
_atom_site_label
_atom_site_type_symbol
_atom_site_fract_x
_atom_site_fract_y
_atom_site_fract_z
Tl1 Tl 0.036 0.071 0.221
Tl2 Tl 0.036 0.429 0.221
Tl3 Tl 0.250 0.250 0.588
Tl4 Tl 0.464 0.071 0.221
Tl5 Tl 0.464 0.429 0.221
Tl6 Tl 0.536 0.571 0.779
Tl7 Tl 0.536 0.929 0.779
Tl8 Tl 0.750 0.750 0.412
Tl9 Tl 0.964 0.571 0.779
Tl10 Tl 0.964 0.929 0.779
Ge1 Ge 0.250 0.750 0.362
Ge2 Ge 0.750 0.250 0.638
S1 S 0.040 0.750 0.183
S2 S 0.250 0.566 0.554
S3 S 0.250 0.934 0.554
S4 S 0.460 0.750 0.183
S5 S 0.540 0.250 0.817
S6 S 0.750 0.066 0.446
S7 S 0.750 0.434 0.446
S8 S 0.960 0.250 0.817

Record 2
# Tl2GeS2 PBE-GGA optimized geometry
# - space-group type = P4/mbm (127)
# - raw formation energy (eV per formula unit) = -0.01
# - energy above the most stable polymorph in this dataset (eV per atom) = 0.277
# - total magnetization (μB per atom) = 0.0000
data_Tl2GeS2
_chemical_formula_sum 'Tl4 Ge2 S4'
_symmetry_space_group_name_H-M 'P 1'
_symmetry_Int_Tables_number 1
_symmetry_space_group_name_Hall 'P 1'
_cell_length_a 7.377
_cell_length_b 7.377
_cell_length_c 4.647
_cell_angle_alpha 90.00
_cell_angle_beta 90.00
_cell_angle_gamma 90.00
loop_
_atom_site_label
_atom_site_type_symbol
_atom_site_fract_x
_atom_site_fract_y
_atom_site_fract_z
Tl1 Tl 0.151 0.349 0.000
Tl2 Tl 0.349 0.849 0.000
Tl3 Tl 0.651 0.151 0.000
Tl4 Tl 0.849 0.651 0.000
Ge1 Ge 0.000 0.000 0.500
Ge2 Ge 0.500 0.500 0.500
S1 S 0.177 0.677 0.500
S2 S 0.323 0.177 0.500
S3 S 0.677 0.823 0.500
S4 S 0.823 0.323 0.500